No. 1
# RhSeBr2O

A relaxed RhSeBr2O crystal (GGA-PBE, Alexandria).

Lattice parameters (Å, degrees): 5.1859 5.1859 4.6534 90.00 90.00 90.00
Last column: magnetic moment on the atom in μB.
Fractional positions:
Rh: 0.0000 0.0000 0.0000  0.01
O: 0.5000 0.5000 0.5000  -0.12
Br: 0.5000 0.0000 0.0000  0.05
Br: 0.0000 0.5000 0.0000  0.05
Se: 0.0000 0.0000 0.5000  -0.01

Computed properties:
Energy relative to the lowest polymorph listed for this composition: 0 meV per atom
Formation energy from raw total energies: 0.75 eV/atom
Space group: No. 123
V: 125.15 Å³/cell

***

No. 2
# TlSb4

A relaxed TlSb4 crystal (GGA-PBE, Alexandria).

Lattice parameters (Å, degrees): 6.3453 6.3453 6.3453 95.80 95.80 142.92
Fractional positions:
Sb: 0.1689 0.6373 0.8062
Sb: 0.8311 0.3627 0.1938
Sb: 0.3627 0.1689 0.5316
Sb: 0.6373 0.8311 0.4684
Tl: 0.0000 0.0000 0.0000

Computed properties:
Energy relative to the lowest polymorph listed for this composition: 0 meV per atom
Formation energy from raw total energies: 0.14 eV/atom
Space group: No. 87
V: 146.05 Å³/cell

***

No. 3
# YC5

A relaxed YC5 crystal (GGA-PBE, Alexandria).

Lattice parameters (Å, degrees): 7.7547 7.7547 4.0840 90.00 90.00 160.17
Last column: magnetic moment on the atom in μB.
Fractional positions:
C: 0.9875 0.0125 0.5000  0.03
C: 0.6566 0.3434 0.0000  -0.01
C: 0.2901 0.7099 0.0000  0.30
C: 0.4921 0.5079 0.5000  -0.01
C: 0.7525 0.2475 0.0000  0.01
Y: 0.1546 0.8454 0.5000  -0.09

Computed properties:
Energy relative to the lowest polymorph listed for this composition: 549 meV per atom
Space group: No. 38
V: 83.31 Å³/cell

***

No. 4
# Na4AcTl

A relaxed Na4AcTl crystal (GGA-PBE, Alexandria).

Lattice parameters (Å, degrees): 6.5378 6.5378 6.5378 60.00 60.00 60.00
Fractional positions:
Na: 0.6258 0.6258 0.6258
Na: 0.6258 0.1225 0.6258
Na: 0.1225 0.6258 0.6258
Na: 0.6258 0.6258 0.1225
Tl: 0.0000 0.0000 0.0000
Ac: 0.2500 0.2500 0.2500

Computed properties:
Electronic total energy: -0.0690 Ha/atom
Space group: No. 216
V: 197.60 Å³/cell

***

No. 5
# PmPt2Au

A relaxed PmPt2Au crystal (GGA-PBE, Alexandria).

Lattice parameters (Å, degrees): 4.3506 5.4174 6.9850 90.00 90.00 90.00
Fractional positions:
Au: 0.5000 0.7500 0.6125
Au: 0.5000 0.2500 0.3875
Pm: 0.0000 0.2500 0.7070
Pm: 0.0000 0.7500 0.2930
Pt: 0.0000 0.2500 0.1311
Pt: 0.5000 0.5000 0.0000
Pt: 0.5000 0.0000 0.0000
Pt: 0.0000 0.7500 0.8689

Computed properties:
Energy relative to the lowest polymorph listed for this composition: 0 meV per atom
Space group: No. 51
V: 164.63 Å³/cell

***

No. 6
# MnHN

A relaxed MnHN crystal (GGA-PBE, Alexandria).

Lattice parameters (Å, degrees): 2.8071 2.8265 5.0465 89.68 78.83 60.41
Last column: magnetic moment on the atom in μB.
Fractional positions:
N: 0.2768 0.2060 0.8227  -0.15
H: 0.4434 0.6180 0.1880  -0.02
Mn: 0.8767 0.8982 0.9732  1.57

Computed properties:
Energy relative to the lowest polymorph listed for this composition: 111 meV per atom
Space group: No. 1
V: 33.97 Å³/cell

***

No. 7
# Sm2DyMg9

A relaxed Sm2DyMg9 crystal (GGA-PBE, Alexandria).

Lattice parameters (Å, degrees): 6.0610 6.0610 10.3838 73.03 73.03 60.00
Fractional positions:
Mg: 0.6660 0.6660 0.0019
Mg: 0.5000 0.5000 0.5000
Mg: 0.5854 0.5854 0.7500
Mg: 0.3340 0.3340 0.9981
Mg: 0.9207 0.4146 0.2500
Mg: 0.4146 0.9207 0.2500
Mg: 0.4146 0.4146 0.2500
Mg: 0.0793 0.5854 0.7500
Mg: 0.5854 0.0793 0.7500
Sm: 0.1418 0.1418 0.5746
Sm: 0.8582 0.8582 0.4254
Dy: 0.0000 0.0000 0.0000

Computed properties:
Electronic total energy: -0.0884 Ha/atom
Space group: No. 166
V: 311.02 Å³/cell

***

No. 8
# BaSi4Hg

A relaxed BaSi4Hg crystal (GGA-PBE, Alexandria).

Lattice parameters (Å, degrees): 5.7327 5.7327 5.7327 60.00 60.00 60.00
Fractional positions:
Si: 0.3615 0.3615 0.9155
Si: 0.3615 0.3615 0.3615
Si: 0.9155 0.3615 0.3615
Si: 0.3615 0.9155 0.3615
Hg: 0.0000 0.0000 0.0000
Ba: 0.7500 0.7500 0.7500

Computed properties:
Formation energy from raw total energies: 0.18 eV/atom
Space group: No. 216
V: 133.22 Å³/cell

***

No. 9
# LiMg3Pd12

A relaxed LiMg3Pd12 crystal (GGA-PBE, Alexandria).

Lattice parameters (Å, degrees): 3.9617 3.9617 15.7071 90.00 90.00 90.00
Fractional positions:
Mg: 0.0000 0.0000 0.5000
Mg: 0.0000 0.0000 0.7530
Mg: 0.0000 0.0000 0.2470
Pd: 0.5000 0.5000 0.0000
Pd: 0.0000 0.5000 0.1212
Pd: 0.5000 0.0000 0.3734
Pd: 0.0000 0.5000 0.6266
Pd: 0.5000 0.5000 0.7532
Pd: 0.5000 0.0000 0.6266
Pd: 0.5000 0.5000 0.2468
Pd: 0.5000 0.0000 0.8788
Pd: 0.5000 0.5000 0.5000
Pd: 0.0000 0.5000 0.8788
Pd: 0.5000 0.0000 0.1212
Pd: 0.0000 0.5000 0.3734
Li: 0.0000 0.0000 0.0000

Computed properties:
Electronic total energy: -0.1738 Ha/atom
Space group: No. 123
V: 246.52 Å³/cell

***

No. 10
# Nd2PuP3

A relaxed Nd2PuP3 crystal (GGA-PBE, Alexandria).

Lattice parameters (Å, degrees): 5.8052 8.2332 7.1071 106.84 114.11 90.00
Last column: magnetic moment on the atom in μB.
Fractional positions:
Nd: 0.3322 0.4161 0.6645  0.02
Nd: 0.6678 0.5839 0.3355  0.02
Nd: 0.3323 0.9161 0.6645  0.02
Nd: 0.6677 0.0839 0.3355  0.02
P: 0.1575 0.0788 0.3150  -0.08
P: 0.1575 0.5788 0.3150  -0.08
P: 0.5000 0.2500 0.0000  -0.08
P: 0.8425 0.4212 0.6850  -0.08
P: 0.8425 0.9212 0.6850  -0.08
P: 0.5000 0.7500 0.0000  -0.08
Pu: 0.0000 0.2500 0.0000  4.91
Pu: 0.0000 0.7500 0.0000  4.91

Computed properties:
Energy relative to the lowest polymorph listed for this composition: 0 meV per atom
Space group: No. 71
V: 294.04 Å³/cell

***

No. 11
# Ba2NaSrSb

A relaxed Ba2NaSrSb crystal (GGA-PBE, Alexandria).

Lattice parameters (Å, degrees): 6.7887 6.7887 6.4322 90.00 90.00 90.00
Fractional positions:
Na: 0.5000 0.5000 0.5000
Sb: 0.0000 0.0000 0.0000
Sr: 0.0000 0.0000 0.5000
Ba: 0.0000 0.5000 0.0000
Ba: 0.5000 0.0000 0.0000

Computed properties:
Formation energy from raw total energies: -0.38 eV/atom
Space group: No. 123
V: 296.44 Å³/cell

***

No. 12
# Au3BrF

A relaxed Au3BrF crystal (GGA-PBE, Alexandria).

Lattice parameters (Å, degrees): 4.7344 4.7344 4.7344 90.00 90.00 90.00
Fractional positions:
Au: 0.0000 0.5000 0.0000
Au: 0.0000 0.0000 0.5000
Au: 0.5000 0.0000 0.0000
Br: 0.5000 0.5000 0.5000
F: 0.0000 0.0000 0.0000

Computed properties:
Energy relative to the lowest polymorph listed for this composition: 0 meV per atom
Formation energy from raw total energies: 0.35 eV/atom
Space group: No. 221
V: 106.12 Å³/cell

***

No. 13
# PmNi4H8

A relaxed PmNi4H8 crystal (GGA-PBE, Alexandria).

Lattice parameters (Å, degrees): 5.1486 5.1486 5.1486 68.17 68.17 68.17
Fractional positions:
H: 0.6614 0.2844 0.2844
H: 0.7156 0.3386 0.7156
H: 0.2844 0.6614 0.2844
H: 0.7156 0.7156 0.3386
H: 0.2612 0.2612 0.2612
H: 0.7388 0.7388 0.7388
H: 0.2844 0.2844 0.6614
H: 0.3386 0.7156 0.7156
Pm: 0.0000 0.0000 0.0000
Ni: 0.5000 0.0000 0.5000
Ni: 0.5000 0.5000 0.0000
Ni: 0.0000 0.5000 0.5000
Ni: 0.5000 0.5000 0.5000

Computed properties:
Electronic total energy: -0.1568 Ha/atom
Space group: No. 166
V: 113.19 Å³/cell

***

No. 14
# LaIn2Fe

A relaxed LaIn2Fe crystal (GGA-PBE, Alexandria).

Lattice parameters (Å, degrees): 5.9227 5.9227 3.0975 89.80 89.80 116.19
Last column: magnetic moment on the atom in μB.
Fractional positions:
Fe: 0.0000 0.5000 0.5000  2.94
La: 0.5000 0.0000 0.5000  -0.07
In: 0.0000 0.0000 0.0000  -0.01
In: 0.5000 0.5000 0.0000  -0.01

Computed properties:
Electronic total energy: -0.1661 Ha/atom
Space group: No. 12
V: 97.49 Å³/cell

***

No. 15
# TlCuSn

A relaxed TlCuSn crystal (GGA-PBE, Alexandria).

Lattice parameters (Å, degrees): 7.1970 6.6809 3.4320 90.04 118.46 94.07
Fractional positions:
Tl: 0.2907 0.8802 0.7791
Tl: 0.7101 0.1886 0.2005
Cu: 0.5000 0.5339 0.9889
Cu: 0.0004 0.0341 0.9893
Sn: 0.1896 0.3997 0.1786
Sn: 0.8101 0.6691 0.7996

Computed properties:
Electronic total energy: -0.1240 Ha/atom
Space group: No. 2
V: 144.60 Å³/cell

***

No. 16
# GdErZn

A relaxed GdErZn crystal (GGA-PBE, Alexandria).

Lattice parameters (Å, degrees): 3.6427 4.9874 4.9874 120.00 90.00 90.00
Last column: magnetic moment on the atom in μB.
Fractional positions:
Er: 0.0834 0.0000 0.0000  0.05
Zn: 0.2957 0.3333 0.6667  -0.01
Gd: 0.6209 0.6667 0.3333  7.11

Computed properties:
Energy relative to the lowest polymorph listed for this composition: 165 meV per atom
Space group: No. 156
V: 78.47 Å³/cell

***

No. 17
# Pm5Hg2C

A relaxed Pm5Hg2C crystal (GGA-PBE, Alexandria).

Lattice parameters (Å, degrees): 5.3140 8.3327 12.4102 90.00 90.00 108.59
Fractional positions:
Pm: 0.0782 0.1564 0.1055
Pm: 0.7030 0.4060 0.9050
Pm: 0.3134 0.6269 0.7500
Pm: 0.9218 0.8436 0.6055
Pm: 0.6866 0.3731 0.2500
Pm: 0.2970 0.5940 0.4050
Pm: 0.2970 0.5940 0.0950
Pm: 0.0782 0.1564 0.3945
Pm: 0.7030 0.4060 0.5950
Pm: 0.9218 0.8436 0.8945
C: 0.8190 0.6379 0.7500
C: 0.1810 0.3621 0.2500
Hg: 0.8832 0.7664 0.3623
Hg: 0.8832 0.7664 0.1377
Hg: 0.1168 0.2336 0.6377
Hg: 0.1168 0.2336 0.8623

Computed properties:
Electronic total energy: -0.1543 Ha/atom
Space group: No. 63
V: 520.84 Å³/cell

***

No. 18
# RbPaIrO4

A relaxed RbPaIrO4 crystal (GGA-PBE, Alexandria).

Lattice parameters (Å, degrees): 5.6474 7.7395 6.8704 116.35 90.00 111.40
Fractional positions:
Rb: 0.8126 0.6253 0.0626
Rb: 0.1874 0.3747 0.9374
O: 0.7013 0.9557 0.2279
O: 0.6809 0.3619 0.2500
O: 0.3191 0.6381 0.7500
O: 0.7455 0.0443 0.7721
O: 0.2545 0.9557 0.2279
O: 0.3191 0.6381 0.3881
O: 0.2987 0.0443 0.7721
O: 0.6809 0.3619 0.6119
Pa: 0.5000 0.0000 0.0000
Pa: 0.5000 0.0000 0.5000
Ir: 0.0000 0.5000 0.5000
Ir: 0.5000 0.5000 0.5000

Computed properties:
Formation energy from raw total energies: -2.06 eV/atom
Space group: No. 74
V: 245.78 Å³/cell

***

No. 19
# ZnTe3

A relaxed ZnTe3 crystal (GGA-PBE, Alexandria).

Lattice parameters (Å, degrees): 19.2176 19.2176 19.2176 167.71 167.71 17.41
Fractional positions:
Te: 0.2500 0.7500 0.5000
Te: 0.7500 0.2500 0.5000
Te: 0.0000 0.5000 0.5000
Te: 0.1247 0.1247 0.0000
Te: 0.8753 0.8753 0.0000
Te: 0.5000 0.0000 0.5000
Zn: 0.3751 0.3751 0.0000
Zn: 0.6249 0.6249 0.0000

Computed properties:
Formation energy from raw total energies: 0.17 eV/atom
Space group: No. 139
V: 321.45 Å³/cell

***

No. 20
# Zr2PaTa

A relaxed Zr2PaTa crystal (GGA-PBE, Alexandria).

Lattice parameters (Å, degrees): 4.9890 4.9890 4.9890 60.00 60.00 60.00
Fractional positions:
Pa: 0.0000 0.0000 0.0000
Zr: 0.7500 0.7500 0.7500
Zr: 0.2500 0.2500 0.2500
Ta: 0.5000 0.5000 0.5000

Computed properties:
Energy relative to the lowest polymorph listed for this composition: 0 meV per atom
Space group: No. 225
V: 87.80 Å³/cell

***

No. 21
# BaYIr2

A relaxed BaYIr2 crystal (GGA-PBE, Alexandria).

Lattice parameters (Å, degrees): 8.3359 8.3359 8.3359 26.89 26.89 26.89
Last column: magnetic moment on the atom in μB.
Fractional positions:
Y: 0.2500 0.2500 0.2500  0.00
Ir: 0.9907 0.9907 0.9907  0.12
Ir: 0.5093 0.5093 0.5093  0.12
Ba: 0.7500 0.7500 0.7500  -0.01

Computed properties:
Energy relative to the lowest polymorph listed for this composition: 448 meV per atom
Space group: No. 166
V: 104.51 Å³/cell

***

No. 22
# La2Si2Tc2H

A relaxed La2Si2Tc2H crystal (GGA-PBE, Alexandria).

Lattice parameters (Å, degrees): 4.1942 4.1942 8.0502 105.10 105.10 90.00
Fractional positions:
H: 0.0000 0.0000 0.0000
La: 0.1588 0.1588 0.3176
La: 0.8412 0.8412 0.6824
Tc: 0.0000 0.5000 0.0000
Tc: 0.5000 0.0000 0.0000
Si: 0.4035 0.4035 0.8071
Si: 0.5965 0.5965 0.1929

Computed properties:
Electronic total energy: -0.2562 Ha/atom
Space group: No. 139
V: 131.65 Å³/cell

***

No. 23
# TbPrHgPt

A relaxed TbPrHgPt crystal (GGA-PBE, Alexandria).

Lattice parameters (Å, degrees): 5.2078 5.2078 5.2078 60.00 60.00 60.00
Fractional positions:
Tb: 0.0000 0.0000 0.0000
Pt: 0.7500 0.7500 0.7500
Pr: 0.5000 0.5000 0.5000
Hg: 0.2500 0.2500 0.2500

Computed properties:
Electronic total energy: -0.1718 Ha/atom
Space group: No. 216
V: 99.87 Å³/cell

***

No. 24
# TaSbS2Cl

A relaxed TaSbS2Cl crystal (GGA-PBE, Alexandria).

Lattice parameters (Å, degrees): 4.8465 4.8465 4.7725 90.00 90.00 90.00
Fractional positions:
Sb: 0.5000 0.5000 0.5000
S: 0.5000 0.0000 0.0000
S: 0.0000 0.5000 0.0000
Cl: 0.0000 0.0000 0.5000
Ta: 0.0000 0.0000 0.0000

Computed properties:
Energy relative to the lowest polymorph listed for this composition: 0 meV per atom
Formation energy from raw total energies: -0.15 eV/atom
Space group: No. 123
V: 112.10 Å³/cell

***

No. 25
# KSc2Cd

A relaxed KSc2Cd crystal (GGA-PBE, Alexandria).

Lattice parameters (Å, degrees): 3.5149 5.5896 5.6912 90.00 90.00 90.00
Fractional positions:
Cd: 0.5000 0.0000 0.5000
Sc: 0.0000 0.0000 0.0000
Sc: 0.5000 0.5000 0.0000
K: 0.0000 0.5000 0.5000

Computed properties:
Electronic total energy: -0.1206 Ha/atom
Space group: No. 47
V: 111.81 Å³/cell

***

No. 26
# AsSeBr2O

A relaxed AsSeBr2O crystal (GGA-PBE, Alexandria).

Lattice parameters (Å, degrees): 4.7864 4.7864 4.4192 90.00 90.00 90.00
Fractional positions:
As: 0.5000 0.5000 0.5000
O: 0.0000 0.0000 0.0000
Br: 0.5000 0.0000 0.0000
Br: 0.0000 0.5000 0.0000
Se: 0.0000 0.0000 0.5000

Computed properties:
Energy relative to the lowest polymorph listed for this composition: 36 meV per atom
Formation energy from raw total energies: 0.71 eV/atom
Space group: No. 123
V: 101.24 Å³/cell